# 1
# MgNiSe

An optimized crystal structure of MgNiSe (PBE-GGA, Alexandria).

Cell: 4.966 3.665 7.127 Å, 104.90 79.46 68.34°
Fractional coordinates of all 6 atoms:
Ni  0.684  0.843  0.830
Ni  0.873  0.135  0.604
Mg  0.299  0.421  0.600
Mg  0.985  0.272  0.989
Se  0.784  0.584  0.414
Se  0.400  0.576  0.012

## Properties
Formation energy from raw total energies   -0.4381 eV per atom

***

# 2
# HoEr14Sc

An optimized crystal structure of HoEr14Sc (PBE-GGA, Alexandria).

Cell: 6.984 6.984 9.861 Å, 90.00 90.00 90.00°
Fractional coordinates of all 16 atoms:
Ho  0.875  0.125  0.000
Er  0.375  0.625  0.500
Er  0.875  0.125  0.500
Er  0.875  0.625  0.000
Er  0.875  0.625  0.500
Er  0.375  0.125  0.000
Er  0.375  0.125  0.500
Er  0.624  0.874  0.752
Er  0.624  0.874  0.248
Er  0.126  0.376  0.752
Er  0.126  0.376  0.248
Er  0.126  0.874  0.752
Er  0.126  0.874  0.248
Er  0.624  0.376  0.752
Er  0.624  0.376  0.248
Sc  0.375  0.625  0.000

## Properties
Energy of formation   0.03 eV/atom